(1)
# LiNi2 (PBE, optimized geometry)
# Fermi-level density of states	17.3	states/eV per cell
# uncorrected energy	-4.2923	eV per atom
data_LiNi2
_cell_length_a 2.411
_cell_length_b 2.411
_cell_length_c 24.265
_cell_angle_alpha 90.00
_cell_angle_beta 90.00
_cell_angle_gamma 90.00
_space_group_name_H-M_alt 'I 41/a m d'
_space_group_IT_number 141
loop_
_space_group_symop_operation_xyz
'x,y,z'
'-x,-y,-z'
'-y+1/4,x+3/4,z+1/4'
'y+1/4,-x+3/4,-z+1/4'
'-x+1/2,-y,z+1/2'
'x+1/2,y,-z+1/2'
'y+1/4,-x+1/4,z+3/4'
'-y+1/4,x+1/4,-z+3/4'
'x,-y,-z'
'-x,y,z'
'-y+1/4,-x+1/4,-z+3/4'
'y+1/4,x+1/4,z+3/4'
'-x+1/2,y,-z+1/2'
'x+1/2,-y,z+1/2'
'y+1/4,x+3/4,-z+1/4'
'-y+1/4,-x+3/4,z+1/4'
'x+1/2,y+1/2,z+1/2'
'-x+1/2,-y+1/2,-z+1/2'
'-y+3/4,x+1/4,z+3/4'
'y+3/4,-x+1/4,-z+3/4'
'-x,-y+1/2,z'
'x,y+1/2,-z'
'y+3/4,-x+3/4,z+1/4'
'-y+3/4,x+3/4,-z+1/4'
'x+1/2,-y+1/2,-z+1/2'
'-x+1/2,y+1/2,z+1/2'
'-y+3/4,-x+3/4,-z+1/4'
'y+3/4,x+3/4,z+1/4'
'-x,y+1/2,-z'
'x,-y+1/2,z'
'y+3/4,x+1/4,-z+3/4'
'-y+3/4,-x+1/4,z+3/4'
loop_
_atom_site_label
_atom_site_fract_x
_atom_site_fract_y
_atom_site_fract_z
Li1 0.000 0.250 0.375
Ni1 0.000 0.250 0.793

---

(2)
# LiNi (PBE, optimized geometry)
# Fermi-level density of states	3.9	states/eV per cell
# uncorrected energy	-3.7960	eV per atom
data_LiNi
_cell_length_a 2.5554
_cell_length_b 2.5554
_cell_length_c 8.7266
_cell_angle_alpha 90.00
_cell_angle_beta 90.00
_cell_angle_gamma 120.00
_space_group_name_H-M_alt 'P -3 m 1'
_space_group_IT_number 164
_space_group_name_Hall '-P 3 2"'
loop_
_atom_site_label
_atom_site_fract_x
_atom_site_fract_y
_atom_site_fract_z
Li1 0.3333 0.6667 0.1504
Ni1 0.3333 0.6667 0.6137

---

(3)
# Li5Ni (PBE, optimized geometry)
# Fermi-level density of states	8.3	states/eV per cell
# uncorrected energy	-2.3414	eV per atom
data_Li5Ni
_cell_length_a 7.191
_cell_length_b 7.191
_cell_length_c 7.191
_cell_angle_alpha 90.00
_cell_angle_beta 90.00
_cell_angle_gamma 90.00
_space_group_name_H-M_alt 'F -4 3 m'
_space_group_IT_number 216
_space_group_name_Hall 'F -4 2 3'
loop_
_atom_site_label
_atom_site_fract_x
_atom_site_fract_y
_atom_site_fract_z
Li1 0.000 0.000 0.000
Li2 0.123 0.123 0.623
Ni1 0.250 0.250 0.250

---

(4)
# LiNi (PBE, optimized geometry)
# Fermi-level density of states	8.4	states/eV per cell
# uncorrected energy	-3.8218	eV per atom
data_LiNi
_cell_length_a 2.416
_cell_length_b 9.859
_cell_length_c 3.933
_cell_angle_alpha 90.00
_cell_angle_beta 90.00
_cell_angle_gamma 90.00
_space_group_name_H-M_alt 'C m c m'
_space_group_IT_number 63
_space_group_name_Hall '-C 2c 2'
loop_
_atom_site_label
_atom_site_fract_x
_atom_site_fract_y
_atom_site_fract_z
Li1 0.000 0.064 0.250
Ni1 0.000 0.301 0.250

---

no.,DFT formation energy (meV/atom)
1,200
2,52
3,217
4,26